(1)
This record from Alexandria via LeMat-Bulk describes a geometry-optimized UHPd3 structure. The functional is PBE.

Unit cell a=4.228 b=4.228 c=4.228 alpha=90.00 beta=90.00 gamma=90.00
Fractional positions:
U: 0.000 0.000 0.000
H: 0.500 0.500 0.500
Pd: 0.000 0.500 0.500
Pd: 0.500 0.000 0.500
Pd: 0.500 0.500 0.000

Output
Total DFT energy (no corrections) in eV/f.u.: -31.356
Space group: Pm-3m

(2)
This record from Alexandria via LeMat-Bulk describes a geometry-optimized UHPd2 structure. The functional is PBE.

Unit cell a=2.932 b=2.932 c=23.347 alpha=90.00 beta=90.00 gamma=120.00
Fractional positions:
U: 0.000 0.000 0.000
U: 0.333 0.667 0.667
U: 0.667 0.333 0.333
H: 0.000 0.000 0.500
H: 0.333 0.667 0.167
H: 0.667 0.333 0.833
Pd: 0.000 0.000 0.114
Pd: 0.000 0.000 0.886
Pd: 0.333 0.667 0.552
Pd: 0.333 0.667 0.781
Pd: 0.667 0.333 0.219
Pd: 0.667 0.333 0.448

Output
Total DFT energy (no corrections) in eV/f.u.: -24.720
Space group: R-3m

(3)
This record from Alexandria via LeMat-Bulk describes a geometry-optimized VH5Pd5 structure. The functional is PBE.

Unit cell a=5.010 b=5.010 c=5.830 alpha=107.06 beta=107.06 gamma=47.53
Fractional positions:
V: 0.000 0.000 0.000
H: 0.149 0.149 0.343
H: 0.165 0.165 0.815
H: 0.500 0.500 0.000
H: 0.835 0.835 0.185
H: 0.851 0.851 0.657
Pd: 0.000 0.000 0.500
Pd: 0.332 0.332 0.159
Pd: 0.337 0.337 0.674
Pd: 0.663 0.663 0.326
Pd: 0.668 0.668 0.841

Output
Total DFT energy (no corrections) in eV/f.u.: -52.815
Space group: C2/m

(4)
This record from Alexandria via LeMat-Bulk describes a geometry-optimized V3H12Pd5 structure. The functional is PBE.

Unit cell a=9.374 b=9.374 c=9.374 alpha=109.47 beta=109.47 gamma=109.47
Fractional positions:
V: 0.125 0.250 0.375
V: 0.125 0.375 0.750
V: 0.250 0.375 0.125
V: 0.250 0.875 0.625
V: 0.375 0.125 0.250
V: 0.375 0.750 0.125
V: 0.625 0.250 0.875
V: 0.625 0.875 0.750
V: 0.750 0.125 0.375
V: 0.750 0.625 0.875
V: 0.875 0.625 0.250
V: 0.875 0.750 0.625
H: 0.064 0.230 0.150
H: 0.064 0.334 0.914
H: 0.080 0.730 0.666
H: 0.080 0.850 0.414
H: 0.086 0.650 0.420
H: 0.086 0.936 0.666
H: 0.150 0.064 0.230
H: 0.150 0.586 0.920
H: 0.166 0.230 0.580
H: 0.166 0.436 0.586
H: 0.230 0.150 0.064
H: 0.230 0.580 0.166
H: 0.270 0.334 0.920
H: 0.270 0.436 0.350
H: 0.334 0.914 0.064
H: 0.334 0.920 0.270
H: 0.350 0.270 0.436
H: 0.350 0.580 0.914
H: 0.414 0.080 0.850
H: 0.414 0.834 0.564
H: 0.420 0.086 0.650
H: 0.420 0.834 0.770
H: 0.436 0.350 0.270
H: 0.436 0.586 0.166
H: 0.564 0.414 0.834
H: 0.564 0.650 0.730
H: 0.580 0.166 0.230
H: 0.580 0.914 0.350
H: 0.586 0.166 0.436
H: 0.586 0.920 0.150
H: 0.650 0.420 0.086
H: 0.650 0.730 0.564
H: 0.666 0.080 0.730
H: 0.666 0.086 0.936
H: 0.730 0.564 0.650
H: 0.730 0.666 0.080
H: 0.770 0.420 0.834
H: 0.770 0.850 0.936
H: 0.834 0.564 0.414
H: 0.834 0.770 0.420
H: 0.850 0.414 0.080
H: 0.850 0.936 0.770
H: 0.914 0.064 0.334
H: 0.914 0.350 0.580
H: 0.920 0.150 0.586
H: 0.920 0.270 0.334
H: 0.936 0.666 0.086
H: 0.936 0.770 0.850
Pd: 0.000 0.000 0.000
Pd: 0.000 0.000 0.500
Pd: 0.000 0.500 0.000
Pd: 0.000 0.500 0.500
Pd: 0.125 0.750 0.875
Pd: 0.125 0.875 0.250
Pd: 0.250 0.125 0.875
Pd: 0.250 0.625 0.375
Pd: 0.375 0.250 0.625
Pd: 0.375 0.625 0.750
Pd: 0.500 0.000 0.000
Pd: 0.500 0.000 0.500
Pd: 0.500 0.500 0.000
Pd: 0.500 0.500 0.500
Pd: 0.625 0.375 0.250
Pd: 0.625 0.750 0.375
Pd: 0.750 0.375 0.625
Pd: 0.750 0.875 0.125
Pd: 0.875 0.125 0.750
Pd: 0.875 0.250 0.125

Output
Total DFT energy (no corrections) in eV/f.u.: -93.285
Space group: Ia-3d

(5)
This record from Alexandria via LeMat-Bulk describes a geometry-optimized V2HPd8 structure. The functional is PBE.

Unit cell a=7.125 b=7.125 c=5.474 alpha=112.47 beta=112.47 gamma=37.10
Fractional positions:
V: 0.186 0.186 0.185
V: 0.814 0.814 0.815
H: 0.500 0.500 0.500
Pd: 0.001 0.001 0.241
Pd: 0.195 0.195 0.696
Pd: 0.380 0.380 0.626
Pd: 0.381 0.381 0.131
Pd: 0.619 0.619 0.869
Pd: 0.620 0.620 0.374
Pd: 0.805 0.805 0.304
Pd: 0.999 0.999 0.759

Output
Total DFT energy (no corrections) in eV/f.u.: -64.636
Space group: C2/m

(6)
This record from Alexandria via LeMat-Bulk describes a geometry-optimized VHPd structure. The functional is PBE.

Unit cell a=2.765 b=2.769 c=9.398 alpha=89.98 beta=81.55 gamma=60.08
Fractional positions:
V: 0.000 0.000 0.000
V: 0.161 0.414 0.260
H: 0.577 0.708 0.135
H: 0.761 0.113 0.361
Pd: 0.323 0.834 0.516
Pd: 0.483 0.258 0.774

Output
Total DFT energy (no corrections) in eV/f.u.: -18.182
Space group: P1

(7)
This record from Alexandria via LeMat-Bulk describes a geometry-optimized V2HPd4 structure. The functional is PBE.

Unit cell a=3.831 b=3.831 c=13.309 alpha=90.00 beta=90.00 gamma=90.00
Fractional positions:
V: 0.000 0.000 0.160
V: 0.000 0.000 0.840
V: 0.500 0.500 0.340
V: 0.500 0.500 0.660
H: 0.000 0.000 0.500
H: 0.500 0.500 0.000
Pd: 0.000 0.000 0.341
Pd: 0.000 0.000 0.659
Pd: 0.000 0.500 0.000
Pd: 0.000 0.500 0.500
Pd: 0.500 0.000 0.000
Pd: 0.500 0.000 0.500
Pd: 0.500 0.500 0.159
Pd: 0.500 0.500 0.841

Output
Total DFT energy (no corrections) in eV/f.u.: -41.652
Space group: I4/mmm

(8)
This record from Alexandria via LeMat-Bulk describes a geometry-optimized V2HPd structure. The functional is PBE.

Unit cell a=2.700 b=2.700 c=22.079 alpha=90.00 beta=90.00 gamma=120.00
Fractional positions:
V: 0.000 0.000 0.112
V: 0.000 0.000 0.888
V: 0.333 0.667 0.555
V: 0.333 0.667 0.778
V: 0.667 0.333 0.222
V: 0.667 0.333 0.445
H: 0.000 0.000 0.500
H: 0.333 0.667 0.167
H: 0.667 0.333 0.833
Pd: 0.000 0.000 0.000
Pd: 0.333 0.667 0.667
Pd: 0.667 0.333 0.333

Output
Total DFT energy (no corrections) in eV/f.u.: -26.193
Space group: R-3m

(9)
This record from Alexandria via LeMat-Bulk describes a geometry-optimized VHPd2 structure. The functional is PBE.

Unit cell a=2.766 b=2.766 c=22.179 alpha=90.00 beta=90.00 gamma=120.00
Fractional positions:
V: 0.000 0.000 0.000
V: 0.333 0.667 0.667
V: 0.667 0.333 0.333
H: 0.000 0.000 0.500
H: 0.333 0.667 0.167
H: 0.667 0.333 0.833
Pd: 0.000 0.000 0.109
Pd: 0.000 0.000 0.891
Pd: 0.333 0.667 0.557
Pd: 0.333 0.667 0.776
Pd: 0.667 0.333 0.224
Pd: 0.667 0.333 0.443

Output
Total DFT energy (no corrections) in eV/f.u.: -22.302
Space group: R-3m

(10)
This record from Alexandria via LeMat-Bulk describes a geometry-optimized VH7Pd12 structure. The functional is PBE.

Unit cell a=6.393 b=6.393 c=6.393 alpha=107.42 beta=107.42 gamma=107.42
Fractional positions:
V: 0.000 0.000 0.000
H: 0.034 0.139 0.366
H: 0.139 0.366 0.034
H: 0.366 0.034 0.139
H: 0.500 0.500 0.500
H: 0.634 0.966 0.861
H: 0.861 0.634 0.966
H: 0.966 0.861 0.634
Pd: 0.076 0.232 0.699
Pd: 0.152 0.458 0.383
Pd: 0.232 0.699 0.076
Pd: 0.301 0.924 0.768
Pd: 0.383 0.152 0.458
Pd: 0.458 0.383 0.152
Pd: 0.542 0.617 0.848
Pd: 0.617 0.848 0.542
Pd: 0.699 0.076 0.232
Pd: 0.768 0.301 0.924
Pd: 0.848 0.542 0.617
Pd: 0.924 0.768 0.301

Output
Total DFT energy (no corrections) in eV/f.u.: -96.829
Space group: R-3

(11)
This record from Alexandria via LeMat-Bulk describes a geometry-optimized VHPd structure. The functional is PBE.

Unit cell a=2.785 b=3.855 c=5.685 alpha=90.00 beta=90.00 gamma=90.00
Fractional positions:
V: 0.250 0.250 0.143
V: 0.750 0.750 0.857
H: 0.250 0.750 0.067
H: 0.750 0.250 0.933
Pd: 0.250 0.250 0.627
Pd: 0.750 0.750 0.373

Output
Total DFT energy (no corrections) in eV/f.u.: -18.297
Space group: Pmmn

(12)
This record from Alexandria via LeMat-Bulk describes a geometry-optimized V2HPd9 structure. The functional is PBE.

Unit cell a=3.884 b=3.884 c=11.435 alpha=90.00 beta=90.00 gamma=90.00
Fractional positions:
V: 0.000 0.000 0.180
V: 0.000 0.000 0.820
H: 0.000 0.000 0.500
Pd: 0.000 0.500 0.000
Pd: 0.000 0.500 0.335
Pd: 0.000 0.500 0.665
Pd: 0.500 0.000 0.000
Pd: 0.500 0.000 0.335
Pd: 0.500 0.000 0.665
Pd: 0.500 0.500 0.167
Pd: 0.500 0.500 0.500
Pd: 0.500 0.500 0.833

Output
Total DFT energy (no corrections) in eV/f.u.: -68.728
Space group: P4/mmm

(13)
This record from Alexandria via LeMat-Bulk describes a geometry-optimized VHPd2 structure. The functional is PBE.

Unit cell a=2.707 b=2.707 c=6.473 alpha=90.00 beta=90.00 gamma=90.00
Fractional positions:
V: 0.000 0.000 0.000
H: 0.000 0.000 0.500
Pd: 0.500 0.500 0.290
Pd: 0.500 0.500 0.710

Output
Total DFT energy (no corrections) in eV/f.u.: -22.778
Space group: P4/mmm

(14)
This record from Alexandria via LeMat-Bulk describes a geometry-optimized V2HPd structure. The functional is PBE.

Unit cell a=2.939 b=2.939 c=18.289 alpha=90.00 beta=90.00 gamma=120.00
Fractional positions:
V: 0.000 0.000 0.000
V: 0.000 0.000 0.234
V: 0.333 0.667 0.667
V: 0.333 0.667 0.901
V: 0.667 0.333 0.333
V: 0.667 0.333 0.568
H: 0.000 0.000 0.616
H: 0.333 0.667 0.283
H: 0.667 0.333 0.950
Pd: 0.000 0.000 0.783
Pd: 0.333 0.667 0.449
Pd: 0.667 0.333 0.116

Output
Total DFT energy (no corrections) in eV/f.u.: -26.905
Space group: R3m

(15)
This record from Alexandria via LeMat-Bulk describes a geometry-optimized V2H2Pd structure. The functional is PBE.

Unit cell a=4.768 b=4.884 c=4.886 alpha=119.05 beta=100.64 gamma=100.92
Fractional positions:
V: 0.249 0.254 0.245
V: 0.250 0.918 0.581
V: 0.750 0.082 0.419
V: 0.751 0.746 0.755
H: 0.004 0.110 0.801
H: 0.497 0.699 0.392
H: 0.503 0.301 0.608
H: 0.996 0.890 0.199
Pd: 0.250 0.598 0.902
Pd: 0.750 0.402 0.098

Output
Total DFT energy (no corrections) in eV/f.u.: -31.033
Space group: P-1

(16)
This record from Alexandria via LeMat-Bulk describes a geometry-optimized VHPd3 structure. The functional is PBE.

Unit cell a=2.794 b=7.058 c=7.070 alpha=69.45 beta=78.65 gamma=89.95
Fractional positions:
V: 0.203 0.352 0.094
V: 0.797 0.648 0.906
H: 0.059 0.880 0.375
H: 0.941 0.120 0.625
Pd: 0.129 0.638 0.242
Pd: 0.334 0.975 0.833
Pd: 0.467 0.733 0.562
Pd: 0.533 0.267 0.438
Pd: 0.666 0.025 0.167
Pd: 0.871 0.362 0.758

Output
Total DFT energy (no corrections) in eV/f.u.: -28.586
Space group: P-1

(17)
This record from Alexandria via LeMat-Bulk describes a geometry-optimized VH3Pd structure. The functional is PBE.

Unit cell a=3.391 b=3.391 c=3.391 alpha=90.00 beta=90.00 gamma=90.00
Fractional positions:
V: 0.000 0.000 0.000
H: 0.000 0.000 0.500
H: 0.000 0.500 0.000
H: 0.500 0.000 0.000
Pd: 0.500 0.500 0.500

Output
Total DFT energy (no corrections) in eV/f.u.: -23.545
Space group: Pm-3m

(18)
This record from Alexandria via LeMat-Bulk describes a geometry-optimized V2HPd structure. The functional is PBE.

Unit cell a=5.162 b=5.162 c=5.162 alpha=60.00 beta=60.00 gamma=60.00
Fractional positions:
V: 0.000 0.000 0.000
V: 0.000 0.000 0.500
V: 0.000 0.500 0.000
V: 0.500 0.000 0.000
H: 0.125 0.125 0.125
H: 0.875 0.875 0.875
Pd: 0.375 0.375 0.375
Pd: 0.625 0.625 0.625

Output
Total DFT energy (no corrections) in eV/f.u.: -26.132
Space group: Fd-3m